# PBE-GGA MnTl2V2Te6, optimized geometry
data_MnTl2V2Te6
_cell_length_a 6.944
_cell_length_b 11.743
_cell_length_c 8.468
_cell_angle_alpha 90.00
_cell_angle_beta 104.09
_cell_angle_gamma 90.00
_symmetry_space_group_name_H-M 'C 1 2/m 1'
_symmetry_Int_Tables_number 12
loop_
_symmetry_equiv_pos_as_xyz
'x,y,z'
'-x,-y,-z'
'-x,y,-z'
'x,-y,z'
'x+1/2,y+1/2,z'
'-x+1/2,-y+1/2,-z'
'-x+1/2,y+1/2,-z'
'x+1/2,-y+1/2,z'
loop_
_atom_site_label
_atom_site_type_symbol
_atom_site_fract_x
_atom_site_fract_y
_atom_site_fract_z
_atom_site_occupancy
Mn1 Mn 0.000 0.000 0.000 1
Tl1 Tl 0.000 0.185 0.500 1
V1 V 0.000 0.350 0.000 1
Te1 Te 0.216 0.170 0.179 1
Te2 Te 0.236 0.500 0.202 1
# ΔE_f (raw) ... -0.272 eV/atom

=====

# PBE-GGA PrTiCu, optimized geometry
data_PrTiCu
_cell_length_a 4.741
_cell_length_b 4.751
_cell_length_c 11.266
_cell_angle_alpha 90.00
_cell_angle_beta 90.00
_cell_angle_gamma 90.00
_symmetry_space_group_name_H-M 'C m m m'
_symmetry_Int_Tables_number 65
_symmetry_space_group_name_Hall '-C 2 2'
loop_
_atom_site_label
_atom_site_type_symbol
_atom_site_fract_x
_atom_site_fract_y
_atom_site_fract_z
_atom_site_occupancy
Pr1 Pr 0.000 0.000 0.178 1
Ti1 Ti 0.000 0.500 0.381 1
Cu1 Cu 0.000 0.000 0.500 1
Cu2 Cu 0.000 0.500 0.000 1
# E_form ... 33 kJ/mol of formula units

=====

# PBE-GGA Ho3PuS4, optimized geometry
data_Ho3PuS4
_cell_length_a 5.515
_cell_length_b 5.515
_cell_length_c 5.515
_cell_angle_alpha 90.00
_cell_angle_beta 90.00
_cell_angle_gamma 90.00
_symmetry_space_group_name_H-M 'P m -3 m'
_symmetry_Int_Tables_number 221
_symmetry_space_group_name_Hall '-P 4 2 3'
loop_
_atom_site_label
_atom_site_type_symbol
_atom_site_fract_x
_atom_site_fract_y
_atom_site_fract_z
_atom_site_occupancy
Ho1 Ho 0.000 0.000 0.500 1
Pu1 Pu 0.500 0.500 0.500 1
S1 S 0.000 0.000 0.000 1
S2 S 0.000 0.500 0.500 1
# ΔE_f (raw) ... -1.943 eV/atom

=====

DOS at the Fermi energy for the records above, in order: 4.53; 4.03; 7.80 states/eV/f.u.
Uncorrected energy for the records above, in order: -4.907; -5.477; -7.515 eV per atom